Below is Cd2SbTe at its PBEsol-relaxed geometry, with properties calculated at the SCAN level.

Cell: 3.2308 5.2488 6.2456 Å, 90.00 90.02 90.00°
Space group Pm (No. 6)
Symmetry-distinct sites (fractional):
Cd: 0.0000 0.0000 0.0000
Cd: 0.4990 0.5000 0.2339
Sb: 0.5022 0.0000 0.4156
Te: 0.0018 0.5000 0.8004

Properties
- Polymorph energy (0 for the lowest one): 0.0 meV per atom